Entry P
A plane-wave DFT calculation with GGA-PBE was carried out for a relaxed structure of TbHo3Ru3.

abc: 9.586 9.660 6.723
angles: 90.00 90.09 90.00
Space group C2/m (No. 12)
One atom of each set of equivalent atoms:
Tb 0.250 0.000 0.001
Ho 0.000 0.242 0.000
Ho 0.000 0.246 0.500
Ho 0.245 0.000 0.501
Ru 0.000 0.000 0.251
Ru 0.250 0.250 0.251

Output
Theoretical density, g/cm3: 10.21


Entry Q
A plane-wave DFT calculation with GGA-PBE was carried out for a relaxed structure of TbHo3Ru3.

abc: 9.5134 9.5134 5.8150
angles: 90.00 90.00 120.00
Space group R3m (No. 160, hexagonal axes)
One atom of each set of equivalent atoms:
Tb 0.0000 0.0000 0.0000
Ho 0.1953 0.3905 0.2184
Ru 0.0001 0.5001 0.4132

Output
Theoretical density, g/cm3: 10.46


entry Q comes first in stability; the runner-up is 24 meV/atom higher.


Entry P
A plane-wave DFT calculation with GGA-PBE was carried out for a relaxed structure of Tb2HoRu.

abc: 7.307 9.224 6.318
angles: 90.00 90.00 90.00
Space group Pnma (No. 62)
One atom of each set of equivalent atoms:
Tb 0.177 0.064 0.170
Ho 0.042 0.250 0.635
Ru 0.115 0.750 0.962

Output
Theoretical density, g/cm3: 9.11


Entry Q
A plane-wave DFT calculation with GGA-PBE was carried out for a relaxed structure of Tb2HoRu.

abc: 3.5042 3.5042 31.9588
angles: 90.00 90.00 120.00
Space group R-3m (No. 166, hexagonal axes)
One atom of each set of equivalent atoms:
Tb 0.0000 0.0000 0.1068
Ho 0.0000 0.0000 0.0000
Ru 0.0000 0.0000 0.5000

Output
Theoretical density, g/cm3: 8.56


Entry R
A plane-wave DFT calculation with GGA-PBE was carried out for a relaxed structure of Tb2HoRu.

abc: 3.935 11.864 9.116
angles: 90.00 90.00 90.00
Space group Cmcm (No. 63)
One atom of each set of equivalent atoms:
Tb 0.000 0.142 0.067
Ho 0.000 0.423 0.250
Ru 0.000 0.242 0.750

Output
Theoretical density, g/cm3: 9.11


Entry S
A plane-wave DFT calculation with GGA-PBE was carried out for a relaxed structure of Tb2HoRu.

abc: 3.438 3.438 8.917
angles: 90.00 90.00 90.00
Space group P4/mmm (No. 123)
One atom of each set of equivalent atoms:
Tb 0.000 0.000 0.186
Ho 0.500 0.500 0.500
Ru 0.500 0.500 0.000

Output
Theoretical density, g/cm3: 9.20


entry P comes first in stability; the runner-up is 19 meV/atom higher.


Entry P
A plane-wave DFT calculation with GGA-PBE was carried out for a relaxed structure of Tb2Ho2Ru3.

abc: 8.471 4.882 8.017
angles: 90.00 110.29 90.00
Space group C2/m (No. 12)
One atom of each set of equivalent atoms:
Tb 0.123 0.000 0.369
Ho 0.126 0.500 0.878
Ru 0.000 0.500 0.500
Ru 0.249 0.000 0.747

Output
Theoretical density, g/cm3: 10.16


Entry Q
A plane-wave DFT calculation with GGA-PBE was carried out for a relaxed structure of Tb2Ho2Ru3.

abc: 6.812 3.362 7.614
angles: 90.00 115.59 90.00
Space group P2/m (No. 10)
One atom of each set of equivalent atoms:
Tb 0.125 0.000 0.248
Ho 0.387 0.000 0.758
Ru 0.253 0.500 0.005
Ru 0.500 0.500 0.500

Output
Theoretical density, g/cm3: 10.04


entry Q comes first in stability; the runner-up is 48 meV/atom higher.


Entry P
A plane-wave DFT calculation with GGA-PBE was carried out for a relaxed structure of HoTcRu.

abc: 8.596 5.283 9.558
angles: 90.00 90.00 90.00
Space group Amm2 (No. 38)
One atom of each set of equivalent atoms:
Ho 0.183 0.000 0.000
Ho 0.312 0.000 0.669
Tc 0.249 0.000 0.341
Tc 0.500 0.242 0.916
Ru 0.000 0.000 0.500
Ru 0.000 0.241 0.744
Ru 0.500 0.000 0.157

Output
Theoretical density, g/cm3: 11.14


Entry Q
A plane-wave DFT calculation with GGA-PBE was carried out for a relaxed structure of HoTcRu.

abc: 8.563 5.242 5.193
angles: 90.00 105.23 90.00
Space group C2/m (No. 12)
One atom of each set of equivalent atoms:
Ho 0.137 0.000 0.385
Tc 0.250 0.250 0.000
Ru 0.004 0.500 0.265

Output
Theoretical density, g/cm3: 10.75


entry P comes first in stability; the runner-up is 443 meV/atom higher.


Entry P
A plane-wave DFT calculation with GGA-PBE was carried out for a relaxed structure of Ho2TeRu.

abc: 4.0625 4.0625 21.8214
angles: 90.00 90.00 120.00
Space group R-3m (No. 166, hexagonal axes)
One atom of each set of equivalent atoms:
Ho 0.0000 0.0000 0.2371
Te 0.0000 0.0000 0.0000
Ru 0.0000 0.0000 0.5000

Output
Theoretical density, g/cm3: 8.92


Entry Q
A plane-wave DFT calculation with GGA-PBE was carried out for a relaxed structure of Ho2TeRu.

abc: 3.554 3.554 7.414
angles: 90.00 90.00 90.00
Space group P4/mmm (No. 123)
One atom of each set of equivalent atoms:
Ho 0.000 0.000 0.221
Te 0.500 0.500 0.500
Ru 0.500 0.500 0.000

Output
Theoretical density, g/cm3: 9.91


entry Q comes first in stability; the runner-up is 78 meV/atom higher.


Entry P
A plane-wave DFT calculation with GGA-PBE was carried out for a relaxed structure of Ho4TeRu.

abc: 17.819 5.280 9.427
angles: 90.00 110.10 90.00
Space group C2/m (No. 12)
One atom of each set of equivalent atoms:
Ho 0.017 0.000 0.241
Ho 0.101 0.500 0.036
Ho 0.199 0.000 0.903
Ho 0.237 0.000 0.303
Te 0.158 0.000 0.555
Ru 0.095 0.000 0.050

Output
Theoretical density, g/cm3: 7.08


Entry Q
A plane-wave DFT calculation with GGA-PBE was carried out for a relaxed structure of Ho4TeRu.

abc: 8.080 4.003 19.371
angles: 90.00 90.00 90.00
Space group Pnma (No. 62)
One atom of each set of equivalent atoms:
Ho 0.003 0.250 0.068
Ho 0.047 0.750 0.214
Ho 0.137 0.750 0.644
Ho 0.142 0.750 0.454
Te 0.245 0.250 0.309
Ru 0.245 0.250 0.550

Output
Theoretical density, g/cm3: 9.42


entry Q comes first in stability; the runner-up is 277 meV/atom higher.